Entry from Alexandria via LeMat-Bulk: crystalline Co3TcOs at its relaxed geometry (PBE-GGA).

abc: 4.4008 4.4008 4.4008
angles: 90.00 90.00 90.00
Fractional positions:
Co 0.0000 0.0000 0.5000
Co 0.0000 0.5000 0.0000
Co 0.5000 0.0000 0.0000
Tc 0.5000 0.5000 0.5000
Os 0.0000 0.0000 0.0000

Crystal system: cubic
E above lowest polymorph, eV/atom: 0.0000
DFT formation energy, eV/f.u.: 8.80
Space-group type: Pm-3m, No. 221

***

Entry from Alexandria via LeMat-Bulk: crystalline Co2TcOs at its relaxed geometry (PBE-GGA).

abc: 5.9397 5.9397 5.9397
angles: 90.00 90.00 90.00
Fractional positions:
Co 0.0000 0.0000 0.0000
Co 0.0000 0.5000 0.5000
Co 0.2500 0.2500 0.2500
Co 0.2500 0.7500 0.7500
Co 0.5000 0.0000 0.5000
Co 0.5000 0.5000 0.0000
Co 0.7500 0.2500 0.7500
Co 0.7500 0.7500 0.2500
Tc 0.2500 0.2500 0.7500
Tc 0.2500 0.7500 0.2500
Tc 0.7500 0.2500 0.2500
Tc 0.7500 0.7500 0.7500
Os 0.0000 0.0000 0.5000
Os 0.0000 0.5000 0.0000
Os 0.5000 0.0000 0.0000
Os 0.5000 0.5000 0.5000

Crystal system: cubic
E above lowest polymorph, eV/atom: 0.2902
DFT formation energy, eV/f.u.: 1.34
Space-group type: F-43m, No. 216

***

Entry from Alexandria via LeMat-Bulk: crystalline Co2TcOs at its relaxed geometry (PBE-GGA).

abc: 5.2307 7.3265 2.6076
angles: 90.00 90.00 90.00
Fractional positions:
Co 0.2500 0.2500 0.0000
Co 0.2500 0.7500 0.0000
Co 0.7500 0.2500 0.0000
Co 0.7500 0.7500 0.0000
Tc 0.0000 0.0000 0.5000
Tc 0.5000 0.5000 0.5000
Os 0.0000 0.5000 0.5000
Os 0.5000 0.0000 0.5000

Crystal system: orthorhombic
E above lowest polymorph, eV/atom: 0.0832
DFT formation energy, eV/f.u.: 0.51
Space-group type: Cmmm, No. 65

***

Entry from Alexandria via LeMat-Bulk: crystalline Co2TcOs at its relaxed geometry (PBE-GGA).

abc: 4.3524 4.3524 2.6848
angles: 90.00 90.00 90.00
Fractional positions:
Co 0.0000 0.5000 0.0000
Co 0.5000 0.0000 0.0000
Tc 0.0000 0.0000 0.5000
Os 0.5000 0.5000 0.5000

Crystal system: tetragonal
E above lowest polymorph, eV/atom: 0.2703
DFT formation energy, eV/f.u.: 1.26
Space-group type: P4/mmm, No. 123